{
  "formula": "V2OF5",
  "functional": "PBE with a Hubbard U",
  "state": "optimized geometry",
  "crystal_system": "monoclinic",
  "volume_a3_per_atom": 13.1,
  "relative_energy_kcal_per_mol_atoms": 0.89,
  "e_tot_ev_per_cell": -100.60,
  "lattice_angstrom": [[4.919, 0.000, 0.000], [0.000, 4.919, 0.012], [0.000, 4.870, 8.704]],
  "species": ["V", "V", "V", "V", "O", "O", "F", "F", "F", "F", "F", "F", "F", "F", "F", "F"],
  "frac_coords": [[0.235, 0.665, 0.823], [0.761, 0.323, 0.690], [0.765, 0.665, 0.323], [0.239, 0.323, 0.190], [0.953, 0.397, 0.809], [0.047, 0.397, 0.309], [0.531, 0.969, 0.814], [0.461, 0.603, 0.678], [0.029, 0.036, 0.677], [0.580, 0.328, 0.505], [0.928, 0.679, 0.501], [0.469, 0.969, 0.314], [0.971, 0.036, 0.177], [0.539, 0.603, 0.178], [0.420, 0.328, 0.005], [0.072, 0.679, 0.001]]
}